## Ba2DyCu4O8 (meta-GGA SCAN)

Data for a crystal of Ba2DyCu4O8 relaxed with PBEsol.

Cell lengths 13.5667, 13.5667, 3.8297 Å; angles 90.00, 90.00, 163.71 degrees
Fractional coordinates of all 15 atoms:
Ba 0.1356 0.8644 0.0000
Ba 0.8644 0.1356 0.0000
Dy 0.0000 0.0000 0.0000
Cu 0.2876 0.7124 0.5000
Cu 0.4383 0.5617 0.5000
Cu 0.5617 0.4383 0.5000
Cu 0.7124 0.2876 0.5000
O 0.0523 0.9477 0.5000
O 0.2179 0.7821 0.5000
O 0.3557 0.6443 0.5000
O 0.4475 0.5525 0.0000
O 0.5525 0.4475 0.0000
O 0.6443 0.3557 0.5000
O 0.7821 0.2179 0.5000
O 0.9477 0.0523 0.5000

total magnetic moment	0.0	μB/f.u.
electronic total energy	-17.743	eV per atom